! Ac2GeTePd6 | the Alexandria database | PBE | optimized geometry; values from VASP
&SYSTEM
  ibrav = 0, nat = 10, ntyp = 4
/
ATOMIC_SPECIES
Pd 106.42 Pd.upf
Te 127.60 Te.upf
Ac 227.00 Ac.upf
Ge 72.64 Ge.upf
CELL_PARAMETERS angstrom
-0.9059 -6.6853 0.3342
1.8451 -1.4204 -6.7242
5.1825 -6.2042 -3.3200
ATOMIC_POSITIONS crystal
Pd 0.7458 0.7546 0.9831
Pd 0.2531 0.7474 0.8413
Pd 0.2541 0.2454 0.0169
Pd 0.7539 0.7448 0.5170
Pd 0.2461 0.2552 0.4830
Pd 0.7469 0.2526 0.1587
Te 0.0000 0.0000 0.0000
Ac 0.7505 0.2498 0.5251
Ac 0.2495 0.7502 0.4749
Ge 0.5000 0.5000 0.0000
! - Uncorrected formation energy: -17.1 kcal/mol of atoms
! - Crystal system: monoclinic
! - Spin magnetization: 0.0 Bohr magnetons per cell
! - Total DFT energy (no corrections): -5.46 eV/atom